i.
Computed, not measured: a relaxed structure of Ac2TlIr at the GGA-PBE level of DFT.

a = 5.531 Å, b = 5.531 Å, c = 5.531 Å
α = 60.00°, β = 60.00°, γ = 60.00°
Sites, in units of the cell vectors:
Ac 0.250 0.250 0.250
Ac 0.750 0.750 0.750
Tl 0.000 0.000 0.000
Ir 0.500 0.500 0.500



ii.
Computed, not measured: a relaxed structure of Ac2TlIr at the GGA-PBE level of DFT.

a = 8.980 Å, b = 8.980 Å, c = 8.980 Å
α = 27.83°, β = 27.83°, γ = 27.83°
Sites, in units of the cell vectors:
Ac 0.231 0.231 0.231
Ac 0.769 0.769 0.769
Tl 0.000 0.000 0.000
Ir 0.500 0.500 0.500



Energetically preferred structure: ii | next structure: +0.242 eV/atom